# Na3SnBi PBE relaxed
# V ... 189 Å³/cell
# Distance to the lowest polymorph of the same formula ... 0.528 eV per atom
# DOS(E_F) ... 4.3 states/eV per cell
# Total energy ... -2.07 eV/atom
data_Na3SnBi
_chemical_formula_sum 'Na3 Sn1 Bi1'
_cell_length_a 5.7434
_cell_length_b 5.7434
_cell_length_c 5.7434
_cell_angle_alpha 90.00
_cell_angle_beta 90.00
_cell_angle_gamma 90.00
_space_group_name_H-M_alt 'P m -3 m'
_space_group_IT_number 221
_space_group_name_Hall '-P 4 2 3'
loop_
_atom_site_label
_atom_site_type_symbol
_atom_site_fract_x
_atom_site_fract_y
_atom_site_fract_z
Na1 Na 0.0000 0.0000 0.5000
Sn1 Sn 0.0000 0.0000 0.0000
Bi1 Bi 0.5000 0.5000 0.5000

---

# Na2SnBi2 PBE relaxed
# V ... 299 Å³/cell
# Distance to the lowest polymorph of the same formula ... 0.010 eV per atom
# DOS(E_F) ... 3.8 states/eV per cell
# Total energy ... -3.05 eV/atom
data_Na2SnBi2
_chemical_formula_sum 'Na4 Sn2 Bi4'
_cell_length_a 9.3390
_cell_length_b 5.5931
_cell_length_c 6.3861
_cell_angle_alpha 90.00
_cell_angle_beta 116.51
_cell_angle_gamma 90.00
_space_group_name_H-M_alt 'C 1 2/m 1'
_space_group_IT_number 12
loop_
_space_group_symop_operation_xyz
'x,y,z'
'-x,-y,-z'
'-x,y,-z'
'x,-y,z'
'x+1/2,y+1/2,z'
'-x+1/2,-y+1/2,-z'
'-x+1/2,y+1/2,-z'
'x+1/2,-y+1/2,z'
loop_
_atom_site_label
_atom_site_type_symbol
_atom_site_fract_x
_atom_site_fract_y
_atom_site_fract_z
Na1 Na 0.2025 0.0000 0.1095
Sn1 Sn 0.0000 0.0000 0.5000
Bi1 Bi 0.0923 0.5000 0.2765